Density functional theory data (PBE) for a relaxed structure of Zn6Ga2Tc.

It has space group P4_2/mnm (No. 136), with a = 6.318 Å, b = 6.318 Å, c = 9.426 Å, α = 90.00°, β = 90.00° and γ = 90.00°. The distinct sites, in fractional coordinates, are Zn at (0.209, 0.209, 0.000), Zn at (0.249, 0.249, 0.368), Ga at (0.000, 0.000, 0.230) and Tc at (0.000, 0.000, 0.500).

The value obtained for the total energy is -0.175 Ry per atom. The calculated volume is 20.9 Å³/atom. As for the formation energy: 298 meV/atom. The calculation puts the total magnetic moment at 0.0 μB per formula unit.

***

Density functional theory data (PBE) for a relaxed structure of CeSm12Ho7.

It has space group R-3m (No. 166, hexagonal axes), with a = 19.5457 Å, b = 19.5457 Å, c = 6.1148 Å, α = 90.00°, β = 90.00° and γ = 120.00°. The distinct sites, in fractional coordinates, are Ce at (0.0000, 0.0000, 0.0000), Sm at (0.0000, 0.4134, 0.5000), Sm at (0.0967, 0.5484, 0.9705), Ho at (0.0000, 0.0000, 0.5000) and Ho at (0.0807, 0.1614, 0.7978).

The value obtained for the total energy is -0.329 Ry per atom. The calculated volume is 33.7 Å³/atom. As for the formation energy: 260 meV/atom. The calculation puts the total magnetic moment at 0.0 μB per formula unit.

***

Density functional theory data (PBE) for a relaxed structure of CsAg2PbCl6.

It has space group C2/c (No. 15), with a = 14.296 Å, b = 10.188 Å, c = 9.134 Å, α = 90.00°, β = 116.41° and γ = 90.00°. The distinct sites, in fractional coordinates, are Cs at (0.000, 0.223, 0.250), Ag at (0.243, 0.489, 0.746), Pb at (0.000, 0.260, 0.750), Cl at (0.108, 0.067, 0.986), Cl at (0.115, 0.478, 0.954) and Cl at (0.191, 0.236, 0.690).

The value obtained for the total energy is -0.225 Ry per atom. The calculated volume is 29.8 Å³/atom. The calculation puts the total magnetic moment at 0.0 μB per formula unit. Its formation energy (no corrections) is -0.92 eV per atom.

***

Density functional theory data (PBE) for a relaxed structure of Li2CoCu.

It has space group Fm-3m (No. 225), with a = 5.777 Å, b = 5.777 Å, c = 5.777 Å, α = 90.00°, β = 90.00° and γ = 90.00°. The distinct sites, in fractional coordinates, are Li at (0.250, 0.250, 0.250), Co at (0.000, 0.000, 0.000) and Cu at (0.000, 0.000, 0.500).

The value obtained for the total energy is -0.253 Ry per atom. The calculated volume is 12.1 Å³/atom. As for the formation energy: 310 meV/atom. The calculation puts the total magnetic moment at 1.2 μB per formula unit.

***

Density functional theory data (PBE) for a relaxed structure of Sc3Rh4.

It has space group R-3 (No. 148, hexagonal axes), with a = 11.9376 Å, b = 11.9376 Å, c = 5.5660 Å, α = 90.00°, β = 90.00° and γ = 120.00°. The distinct sites, in fractional coordinates, are Sc at (0.0434, 0.8179, 0.1928), Rh at (0.0000, 0.0000, 0.0000), Rh at (0.0000, 0.0000, 0.5000) and Rh at (0.0484, 0.8029, 0.6760).

The value obtained for the total energy is -0.574 Ry per atom. The calculated volume is 16.4 Å³/atom. As for the formation energy: -891 meV/atom. The calculation puts the total magnetic moment at 0.0 μB per formula unit.

***

Density functional theory data (PBE) for a relaxed structure of LaMgMo2.

It has space group C2/m (No. 12), with a = 5.969 Å, b = 9.753 Å, c = 2.872 Å, α = 90.00°, β = 109.36° and γ = 90.00°. The distinct sites, in fractional coordinates, are La at (0.000, 0.000, 0.000), Mg at (0.000, 0.500, 0.000) and Mo at (0.250, 0.250, 0.500).

The value obtained for the total energy is -0.471 Ry per atom. The calculated volume is 19.7 Å³/atom. As for the formation energy: 631 meV/atom. The calculation puts the total magnetic moment at 0.0 μB per formula unit.

***

Density functional theory data (PBE) for a relaxed structure of RbGeIrAu.

It has space group P4/nmm (No. 129, origin choice 2), with a = 3.994 Å, b = 3.994 Å, c = 13.237 Å, α = 90.00°, β = 90.00° and γ = 90.00°. The distinct sites, in fractional coordinates, are Rb at (0.250, 0.250, 0.226), Ge at (0.250, 0.250, 0.612), Ir at (0.250, 0.750, 0.500) and Au at (0.250, 0.750, 0.000).

The value obtained for the total energy is -0.343 Ry per atom. The calculated volume is 26.4 Å³/atom. As for the formation energy: -238 meV/atom. The calculation puts the total magnetic moment at 0.0 μB per formula unit.

***

Density functional theory data (PBE) for a relaxed structure of AsPtW2.

It has space group Imm2 (No. 44), with a = 3.063 Å, b = 4.528 Å, c = 9.017 Å, α = 90.00°, β = 90.00° and γ = 90.00°. The distinct sites, in fractional coordinates, are As at (0.000, 0.000, 0.000), Pt at (0.000, 0.500, 0.727), W at (0.000, 0.000, 0.494) and W at (0.000, 0.500, 0.275).

The value obtained for the total energy is -0.662 Ry per atom. The calculated volume is 15.6 Å³/atom. As for the formation energy: 144 meV/atom. The calculation puts the total magnetic moment at 0.0 μB per formula unit.

***

Density functional theory data (PBE) for a relaxed structure of Ca3BePb.

It has space group Pm-3m (No. 221), with a = 5.975 Å, b = 5.975 Å, c = 5.975 Å, α = 90.00°, β = 90.00° and γ = 90.00°. The distinct sites, in fractional coordinates, are Ca at (0.000, 0.000, 0.500), Be at (0.500, 0.500, 0.500) and Pb at (0.000, 0.000, 0.000).

The value obtained for the total energy is -0.163 Ry per atom. The calculated volume is 42.7 Å³/atom. As for the formation energy: 475 meV/atom. The calculation puts the total magnetic moment at 0.0 μB per formula unit.

***

Density functional theory data (PBE) for a relaxed structure of RbZrBi.

It has space group R-3m (No. 166, hexagonal axes), with a = 4.7159 Å, b = 4.7159 Å, c = 41.4015 Å, α = 90.00°, β = 90.00° and γ = 120.00°. The distinct sites, in fractional coordinates, are Rb at (0.0000, 0.0000, 0.1129), Zr at (0.0000, 0.0000, 0.3112) and Bi at (0.0000, 0.0000, 0.3859).

The value obtained for the total energy is -0.336 Ry per atom. The calculated volume is 44.3 Å³/atom. As for the formation energy: -102 meV/atom. The calculation puts the total magnetic moment at 1.0 μB per formula unit.

***

Density functional theory data (PBE) for a relaxed structure of ZnCo2Cl.

It has space group C2/m (No. 12), with a = 5.425 Å, b = 8.473 Å, c = 2.873 Å, α = 90.00°, β = 121.23° and γ = 90.00°. The distinct sites, in fractional coordinates, are Zn at (0.000, 0.000, 0.000), Co at (0.250, 0.250, 0.500) and Cl at (0.000, 0.500, 0.000).

The value obtained for the total energy is -0.281 Ry per atom. The calculated volume is 14.1 Å³/atom. The calculation puts the total magnetic moment at 3.3 μB per formula unit. Its formation energy (no corrections) is 0.50 eV per atom.

***

Density functional theory data (PBE) for a relaxed structure of Ba6Pt2RhCl3.

It has space group C2/m (No. 12), with a = 7.831 Å, b = 13.564 Å, c = 8.414 Å, α = 90.00°, β = 108.07° and γ = 90.00°. The distinct sites, in fractional coordinates, are Ba at (0.237, 0.163, 0.221), Ba at (0.247, 0.500, 0.221), Pt at (0.000, 0.333, 0.000), Rh at (0.000, 0.000, 0.000), Cl at (0.000, 0.165, 0.500) and Cl at (0.000, 0.500, 0.500).

The value obtained for the total energy is -0.316 Ry per atom. The calculated volume is 35.4 Å³/atom. The calculation puts the total magnetic moment at 0.0 μB per formula unit. Its formation energy (no corrections) is -1.26 eV per atom.